12
Lattice="-2.622 -3.966 -1.142 5.530 -4.056 1.387 -3.511 -2.600 6.395" Properties=species:S:1:pos:R:3 comment="Tb6Rh5Au (PBE, relaxed)" total_energy_ev_per_atom=-6.49 ef_ev_per_fu=-10.1 m_tot_mub_per_cell=0.00 pbc="T T T"
Tb 0.765 -7.210 2.260
Tb -1.976 -5.200 1.573
Tb 0.110 -3.026 -0.215
Tb 2.797 -4.996 0.459
Tb 1.372 -5.422 5.067
Tb -1.369 -3.412 4.380
Rh -1.324 -6.404 4.200
Rh -2.048 -2.191 1.761
Rh 2.765 -2.028 0.694
Rh -4.085 -4.376 3.492
Rh 0.720 -4.218 2.440
Au 0.000 0.000 0.000